# 1
Here is Ba2NaHgF after structural relaxation from Alexandria. Energies are from PBE.

a b c (Å): 5.797 5.797 4.684
angles (deg): 90.00 90.00 90.00
Element x y z (fractional)
F 0.000 0.000 0.000
Hg 0.500 0.500 0.500
Ba 0.500 0.000 0.000
Ba 0.000 0.500 0.000
Na 0.000 0.000 0.500

Properties
Magnetization = 0.0 μB per cell
Formation energy without anion corrections = -1.26 eV/atom
Space-group type = P4/mmm



# 2
Here is BaNa3Hg4F12 after structural relaxation from Alexandria. Energies are from PBE.

a b c (Å): 7.651 7.651 7.651
angles (deg): 109.47 109.47 109.47
Element x y z (fractional)
Hg 0.000 0.000 0.500
F 0.132 0.295 0.837
F 0.837 0.132 0.295
F 0.705 0.163 0.868
Ba 0.000 0.000 0.000
F 0.163 0.868 0.705
Na 0.000 0.500 0.500
F 0.837 0.542 0.705
F 0.163 0.458 0.295
Na 0.500 0.500 0.000
F 0.295 0.837 0.132
Hg 0.500 0.500 0.500
Hg 0.000 0.500 0.000
F 0.458 0.295 0.163
F 0.868 0.705 0.163
F 0.295 0.163 0.458
F 0.705 0.837 0.542
Na 0.500 0.000 0.500
Hg 0.500 0.000 0.000
F 0.542 0.705 0.837

Properties
Magnetization = 0.0 μB per cell
Formation energy without anion corrections = -2.10 eV/atom
Space-group type = Im-3



# 3
Here is BaNb2HgF after structural relaxation from Alexandria. Energies are from PBE.

a b c (Å): 5.737 4.655 5.737
angles (deg): 90.00 90.00 90.00
Element x y z (fractional)
F 0.000 0.500 0.000
Nb 0.500 0.000 0.000
Hg 0.500 0.500 0.500
Nb 0.000 0.000 0.500
Ba 0.000 0.000 0.000

Properties
Magnetization = 6.2 μB per cell
Formation energy without anion corrections = 1.16 eV/atom
Space-group type = P4/mmm